Entry from the Alexandria database: a relaxed structure of NaPH4SO8 (GGA-PBEsol).

a = 5.438 Å, b = 6.667 Å, c = 8.866 Å
α = 90.00°, β = 95.52°, γ = 90.00°
Sites, in units of the cell vectors:
Na  0.010  0.000  0.437
Na  0.990  0.500  0.563
P  0.119  0.268  0.879
P  0.881  0.768  0.121
H  0.089  0.650  0.929
H  0.172  0.580  0.255
H  0.425  0.542  0.786
H  0.434  0.059  0.848
H  0.566  0.559  0.152
H  0.575  0.042  0.214
H  0.828  0.080  0.745
H  0.911  0.150  0.071
S  0.461  0.282  0.358
S  0.539  0.782  0.642
O  0.024  0.674  0.266
O  0.042  0.778  0.987
O  0.181  0.484  0.836
O  0.280  0.277  0.469
O  0.281  0.785  0.580
O  0.354  0.145  0.927
O  0.405  0.455  0.253
O  0.417  0.086  0.265
O  0.583  0.586  0.735
O  0.595  0.955  0.747
O  0.646  0.645  0.073
O  0.719  0.285  0.420
O  0.720  0.777  0.531
O  0.819  0.984  0.164
O  0.958  0.278  0.013
O  0.976  0.174  0.734

Computed properties:
final energy = -6.0125 eV per atom
symmetry = No. 4
D(E_F) = 0.0 states/eV per cell


Entry from the Alexandria database: a relaxed structure of NaSrPH18SO12 (GGA-PBEsol).

a = 10.776 Å, b = 10.776 Å, c = 10.776 Å
α = 90.00°, β = 90.00°, γ = 90.00°
Sites, in units of the cell vectors:
Na  0.059  0.059  0.059
Na  0.441  0.941  0.559
Na  0.559  0.441  0.941
Na  0.941  0.559  0.441
Sr  0.189  0.811  0.311
Sr  0.311  0.189  0.811
Sr  0.689  0.689  0.689
Sr  0.811  0.311  0.189
P  0.195  0.695  0.805
P  0.305  0.305  0.305
P  0.695  0.805  0.195
P  0.805  0.195  0.695
H  0.015  0.270  0.831
H  0.016  0.063  0.298
H  0.035  0.774  0.045
H  0.045  0.035  0.774
H  0.057  0.344  0.360
H  0.063  0.298  0.016
H  0.097  0.393  0.854
H  0.098  0.315  0.160
H  0.107  0.146  0.597
H  0.140  0.943  0.844
H  0.146  0.597  0.107
H  0.156  0.640  0.557
H  0.160  0.098  0.315
H  0.169  0.515  0.230
H  0.185  0.840  0.598
H  0.202  0.984  0.563
H  0.226  0.545  0.465
H  0.230  0.169  0.515
H  0.270  0.831  0.015
H  0.274  0.455  0.965
H  0.298  0.016  0.063
H  0.315  0.160  0.098
H  0.331  0.485  0.730
H  0.340  0.902  0.815
H  0.344  0.360  0.057
H  0.354  0.403  0.607
H  0.360  0.057  0.344
H  0.393  0.854  0.097
H  0.402  0.685  0.660
H  0.403  0.607  0.354
H  0.437  0.702  0.516
H  0.443  0.656  0.860
H  0.455  0.965  0.274
H  0.465  0.226  0.545
H  0.484  0.937  0.798
H  0.485  0.730  0.331
H  0.515  0.230  0.169
H  0.516  0.437  0.702
H  0.535  0.726  0.955
H  0.545  0.465  0.226
H  0.557  0.156  0.640
H  0.563  0.202  0.984
H  0.597  0.107  0.146
H  0.598  0.185  0.840
H  0.607  0.354  0.403
H  0.640  0.557  0.156
H  0.646  0.903  0.893
H  0.656  0.860  0.443
H  0.660  0.402  0.685
H  0.669  0.985  0.770
H  0.685  0.660  0.402
H  0.702  0.516  0.437
H  0.726  0.955  0.535
H  0.730  0.331  0.485
H  0.770  0.669  0.985
H  0.774  0.045  0.035
H  0.798  0.484  0.937
H  0.815  0.340  0.902
H  0.831  0.015  0.270
H  0.840  0.598  0.185
H  0.844  0.140  0.943
H  0.854  0.097  0.393
H  0.860  0.443  0.656
H  0.893  0.646  0.903
H  0.902  0.815  0.340
H  0.903  0.893  0.646
H  0.937  0.798  0.484
H  0.943  0.844  0.140
H  0.955  0.535  0.726
H  0.965  0.274  0.455
H  0.984  0.563  0.202
H  0.985  0.770  0.669
S  0.085  0.585  0.915
S  0.415  0.415  0.415
S  0.585  0.915  0.085
S  0.915  0.085  0.585
O  0.031  0.841  0.108
O  0.034  0.281  0.102
O  0.100  0.301  0.859
O  0.102  0.034  0.281
O  0.108  0.031  0.841
O  0.125  0.723  0.683
O  0.141  0.600  0.199
O  0.159  0.608  0.469
O  0.183  0.375  0.277
O  0.199  0.141  0.600
O  0.219  0.898  0.534
O  0.223  0.817  0.875
O  0.277  0.183  0.375
O  0.281  0.102  0.034
O  0.301  0.859  0.100
O  0.317  0.625  0.777
O  0.341  0.392  0.969
O  0.359  0.400  0.699
O  0.375  0.277  0.183
O  0.392  0.969  0.341
O  0.398  0.966  0.781
O  0.400  0.699  0.359
O  0.466  0.719  0.602
O  0.469  0.159  0.608
O  0.531  0.659  0.892
O  0.534  0.219  0.898
O  0.600  0.199  0.141
O  0.602  0.466  0.719
O  0.608  0.469  0.159
O  0.625  0.777  0.317
O  0.641  0.900  0.801
O  0.659  0.892  0.531
O  0.683  0.125  0.723
O  0.699  0.359  0.400
O  0.719  0.602  0.466
O  0.723  0.683  0.125
O  0.777  0.317  0.625
O  0.781  0.398  0.966
O  0.801  0.641  0.900
O  0.817  0.875  0.223
O  0.841  0.108  0.031
O  0.859  0.100  0.301
O  0.875  0.223  0.817
O  0.892  0.531  0.659
O  0.898  0.534  0.219
O  0.900  0.801  0.641
O  0.966  0.781  0.398
O  0.969  0.341  0.392

Computed properties:
final energy = -5.3090 eV per atom
symmetry = No. 198
D(E_F) = 0.0 states/eV per cell